*i*
16
Lattice="7.031 0.000 0.000 0.000 7.031 0.000 0.000 0.000 7.031" Properties=species:S:1:pos:R:3 comment="meta-GGA SCAN BaScMn2, PBEsol geometry" m_tot_mub_per_cell=31.85 pbc="T T T"
Ba 0.000 0.000 0.000
Ba 0.000 3.516 3.516
Ba 3.516 0.000 3.516
Ba 3.516 3.516 0.000
Sc 1.758 1.758 5.274
Sc 1.758 5.274 1.758
Sc 5.274 1.758 1.758
Sc 5.274 5.274 5.274
Mn 0.000 0.000 3.516
Mn 0.000 3.516 0.000
Mn 1.758 1.758 1.758
Mn 1.758 5.274 5.274
Mn 3.516 0.000 0.000
Mn 3.516 3.516 3.516
Mn 5.274 1.758 5.274
Mn 5.274 5.274 1.758


*ii*
4
Lattice="5.124 0.000 0.000 0.000 5.124 0.000 0.000 0.000 3.393" Properties=species:S:1:pos:R:3 comment="meta-GGA SCAN BaScMn2, PBEsol geometry" m_tot_mub_per_cell=7.42 pbc="T T T"
Ba 0.000 0.000 0.000
Sc 2.562 2.562 0.000
Mn 0.000 2.562 1.697
Mn 2.562 0.000 1.697


*iii*
8
Lattice="3.355 0.000 0.000 0.000 4.526 0.000 0.000 0.000 12.090" Properties=species:S:1:pos:R:3 comment="meta-GGA SCAN BaScMn2, PBEsol geometry" m_tot_mub_per_cell=0.00 pbc="T T T"
Ba 0.000 0.000 0.000
Ba 1.678 2.263 6.045
Sc 0.000 2.263 2.853
Sc 1.678 0.000 8.898
Mn 0.000 0.000 4.213
Mn 0.000 2.263 9.066
Mn 1.678 0.000 3.021
Mn 1.678 2.263 10.258


Stability summary: most stable *ii*, least stable *iii*.